No. 1
An optimized crystal structure of DyHo2Er3Sb6. Source: Alexandria, functional GGA-PBE.

Cell: 19.007 4.361 8.723 Å, 90.00 103.20 90.00°
Space group C2/m (No. 12)
Symmetry-distinct sites (fractional):
Dy (0.000, 0.000, 0.000) [2 per cell]
Ho (0.167, 0.500, 0.333) [4 per cell]
Er (0.000, 0.000, 0.500) [2 per cell]
Er (0.167, 0.500, 0.833) [4 per cell]
Sb (0.000, 0.500, 0.251) [4 per cell]
Sb (0.166, 0.000, 0.584) [4 per cell]
Sb (0.167, 0.000, 0.083) [4 per cell]

## Properties
- uncorrected formation energy (kJ per mole of atoms) = -106.84
- raw total energy (eV/atom) = -5.46
- crystal system = monoclinic

=====

No. 2
An optimized crystal structure of Dy2HoErSb4. Source: Alexandria, functional GGA-PBE.

Cell: 7.570 4.373 7.571 Å, 90.00 109.47 90.00°
Space group P2/m (No. 10)
Symmetry-distinct sites (fractional):
Dy (0.000, 0.000, 0.000) [1 per cell]
Dy (0.500, 0.500, 0.000) [1 per cell]
Ho (0.000, 0.500, 0.500) [1 per cell]
Er (0.500, 0.000, 0.500) [1 per cell]
Sb (0.250, 0.000, 0.749) [2 per cell]
Sb (0.251, 0.500, 0.252) [2 per cell]

## Properties
- uncorrected formation energy (kJ per mole of atoms) = -107.87
- raw total energy (eV/atom) = -5.47
- crystal system = monoclinic

=====

No. 3
An optimized crystal structure of Dy2Ho3ErSb6. Source: Alexandria, functional GGA-PBE.

Cell: 19.042 4.369 8.737 Å, 90.00 103.20 90.00°
Space group C2/m (No. 12)
Symmetry-distinct sites (fractional):
Dy (0.167, 0.000, 0.333) [4 per cell]
Ho (0.000, 0.500, 0.500) [2 per cell]
Ho (0.167, 0.000, 0.833) [4 per cell]
Er (0.000, 0.500, 0.000) [2 per cell]
Sb (0.000, 0.000, 0.249) [4 per cell]
Sb (0.166, 0.500, 0.082) [4 per cell]
Sb (0.166, 0.500, 0.584) [4 per cell]

## Properties
- uncorrected formation energy (kJ per mole of atoms) = -107.76
- raw total energy (eV/atom) = -5.47
- crystal system = monoclinic

=====

No. 4
An optimized crystal structure of Dy2Ho3Er6Sc. Source: Alexandria, functional GGA-PBE.

Cell: 6.057 10.480 11.593 Å, 90.00 100.00 90.00°
Space group C2/m (No. 12)
Symmetry-distinct sites (fractional):
Dy (0.000, 0.167, 0.000) [4 per cell]
Ho (0.000, 0.000, 0.500) [2 per cell]
Ho (0.000, 0.334, 0.500) [4 per cell]
Er (0.247, 0.334, 0.248) [8 per cell]
Er (0.249, 0.500, 0.752) [4 per cell]
Sc (0.000, 0.500, 0.000) [2 per cell]

## Properties
- energy of formation (eV/atom) = 0.029
- raw total energy (eV/atom) = -4.69
- crystal system = monoclinic

=====

No. 5
An optimized crystal structure of DyHo3Er6Sc2. Source: Alexandria, functional GGA-PBE.

Cell: 6.022 10.417 11.505 Å, 90.00 100.02 90.00°
Space group C2/m (No. 12)
Symmetry-distinct sites (fractional):
Dy (0.000, 0.000, 0.000) [2 per cell]
Ho (0.000, 0.167, 0.500) [4 per cell]
Ho (0.000, 0.500, 0.500) [2 per cell]
Er (0.246, 0.500, 0.245) [4 per cell]
Er (0.250, 0.168, 0.245) [8 per cell]
Sc (0.000, 0.333, 0.000) [4 per cell]

## Properties
- energy of formation (eV/atom) = 0.037
- raw total energy (eV/atom) = -4.83
- crystal system = monoclinic

=====

No. 6
An optimized crystal structure of DyHoErSc2. Source: Alexandria, functional GGA-PBE.

Cell: 6.026 16.659 6.026 Å, 90.00 90.00 90.00°
Space group Cmcm (No. 63)
Symmetry-distinct sites (fractional):
Dy (0.000, 0.250, 0.250) [4 per cell]
Ho (0.000, 0.153, 0.750) [4 per cell]
Er (0.000, 0.348, 0.750) [4 per cell]
Sc (0.250, 0.000, 0.000) [8 per cell]

## Properties
- energy of formation (eV/atom) = 0.355
- raw total energy (eV/atom) = -4.93
- crystal system = orthorhombic

=====

No. 7
An optimized crystal structure of Dy6Ho2Er3Sc. Source: Alexandria, functional GGA-PBE.

Cell: 6.080 10.518 11.611 Å, 90.00 99.99 90.00°
Space group C2/m (No. 12)
Symmetry-distinct sites (fractional):
Dy (0.248, 0.166, 0.248) [8 per cell]
Dy (0.249, 0.000, 0.752) [4 per cell]
Ho (0.000, 0.333, 0.000) [4 per cell]
Er (0.000, 0.167, 0.500) [4 per cell]
Er (0.000, 0.500, 0.500) [2 per cell]
Sc (0.000, 0.000, 0.000) [2 per cell]

## Properties
- energy of formation (eV/atom) = 0.027
- raw total energy (eV/atom) = -4.70
- crystal system = monoclinic

=====

No. 8
An optimized crystal structure of Dy6HoErSc2. Source: Alexandria, functional GGA-PBE.

Cell: 8.910 14.709 9.344 Å, 90.00 97.36 90.00°
Space group C2/c (No. 15)
Symmetry-distinct sites (fractional):
Dy (0.062, 0.180, 0.446) [8 per cell]
Dy (0.100, 0.397, 0.618) [8 per cell]
Dy (0.209, 0.228, 0.819) [8 per cell]
Ho (0.000, 0.407, 0.250) [4 per cell]
Er (0.000, 0.026, 0.750) [4 per cell]
Sc (0.249, 0.053, 0.047) [8 per cell]

## Properties
- energy of formation (eV/atom) = 0.125
- raw total energy (eV/atom) = -4.82
- crystal system = monoclinic

=====

No. 9
An optimized crystal structure of Dy2Ho2ErSc. Source: Alexandria, functional GGA-PBE.

Cell: 6.490 17.187 3.303 Å, 90.00 90.00 90.00°
Space group Pnnm (No. 58)
Symmetry-distinct sites (fractional):
Dy (0.248, 0.179, 0.000) [4 per cell]
Ho (0.246, 0.353, 0.500) [4 per cell]
Er (0.000, 0.500, 0.000) [2 per cell]
Sc (0.000, 0.000, 0.000) [2 per cell]

## Properties
- energy of formation (eV/atom) = 0.280
- raw total energy (eV/atom) = -4.60
- crystal system = orthorhombic

=====

No. 10
An optimized crystal structure of Dy5HoErSc2. Source: Alexandria, functional GGA-PBE.

Cell: 5.569 21.300 9.304 Å, 90.00 90.00 90.00°
Space group Cmc2_1 (No. 36)
Symmetry-distinct sites (fractional):
Dy (0.000, 0.012, 0.000) [4 per cell]
Dy (0.000, 0.265, 0.322) [4 per cell]
Dy (0.000, 0.306, 0.707) [4 per cell]
Dy (0.000, 0.392, 0.036) [4 per cell]
Dy (0.000, 0.469, 0.737) [4 per cell]
Ho (0.000, 0.185, 0.006) [4 per cell]
Er (0.000, 0.401, 0.409) [4 per cell]
Sc (0.000, 0.113, 0.313) [4 per cell]
Sc (0.000, 0.134, 0.690) [4 per cell]

## Properties
- energy of formation (eV/atom) = 0.166
- raw total energy (eV/atom) = -4.81
- crystal system = orthorhombic

=====

No. 11
An optimized crystal structure of DyHo2ErSc. Source: Alexandria, functional GGA-PBE.

Cell: 8.116 11.128 7.040 Å, 90.00 90.00 90.00°
Space group Cmcm (No. 63)
Symmetry-distinct sites (fractional):
Dy (0.000, 0.231, 0.250) [4 per cell]
Ho (0.197, 0.000, 0.000) [8 per cell]
Er (0.000, 0.230, 0.750) [4 per cell]
Sc (0.000, 0.500, 0.250) [4 per cell]

## Properties
- energy of formation (eV/atom) = 0.360
- raw total energy (eV/atom) = -4.57
- crystal system = orthorhombic

=====

No. 12
An optimized crystal structure of DyHo5Er2Sc. Source: Alexandria, functional GGA-PBE.

Cell: 5.494 19.721 10.298 Å, 90.00 90.00 90.00°
Space group Cmc2_1 (No. 36)
Symmetry-distinct sites (fractional):
Dy (0.000, 0.090, 0.000) [4 per cell]
Ho (0.000, 0.018, 0.284) [4 per cell]
Ho (0.000, 0.122, 0.566) [4 per cell]
Ho (0.000, 0.200, 0.250) [4 per cell]
Ho (0.000, 0.224, 0.864) [4 per cell]
Ho (0.000, 0.482, 0.562) [4 per cell]
Er (0.000, 0.386, 0.281) [4 per cell]
Er (0.000, 0.389, 0.857) [4 per cell]
Sc (0.000, 0.304, 0.559) [4 per cell]

## Properties
- energy of formation (eV/atom) = 0.170
- raw total energy (eV/atom) = -4.60
- crystal system = orthorhombic